No. 1
Density functional theory data (PBE) for LiAc4Pm3S8 after structural relaxation.

Cell lengths 8.3278, 8.3024, 8.3286 Å; angles 120.10, 120.00, 90.00 degrees
Last column: nearest neighbours and their distance in Å.
Atoms (fractional coordinates):
Li  0.0000  0.5000  0.0000  6 S 2.82
Ac  0.5000  0.0000  0.0000  6 S 3.07
Ac  0.5000  0.0000  0.5000  6 S 3.01
Ac  0.0000  0.0000  0.0000  6 S 3.01
Ac  0.0000  0.0000  0.5000  6 S 3.01
Pm  0.5000  0.5000  0.0000  6 S 2.87
Pm  0.5000  0.5000  0.5000  6 S 2.87
Pm  0.0000  0.5000  0.5000  6 S 2.87
S  0.2394  0.7275  0.9881  1 Li 2.82, 2 Pm 2.87, 3 Ac 3.01-3.07
S  0.2395  0.7276  0.4790  1 Li 2.82, 2 Pm 2.87, 3 Ac 3.01-3.07
S  0.2559  0.2678  0.5119  3 Pm 2.87, 3 Ac 3.01
S  0.7486  0.7275  0.9881  1 Li 2.82, 2 Pm 2.87, 3 Ac 3.01-3.07
S  0.2514  0.2725  0.0119  1 Li 2.82, 2 Pm 2.87, 3 Ac 3.01-3.07
S  0.7441  0.7322  0.4881  3 Pm 2.87, 3 Ac 3.01
S  0.7605  0.2724  0.5210  1 Li 2.82, 2 Pm 2.87, 3 Ac 3.01-3.07
S  0.7606  0.2725  0.0119  1 Li 2.82, 2 Pm 2.87, 3 Ac 3.01-3.07

Properties
Uncorrected formation energy   -1.945 eV/atom
Raw total energy   -96.73 eV per cell



No. 2
Density functional theory data (PBE) for Zr2N2O after structural relaxation.

Cell lengths 7.1139, 7.1139, 8.3049 Å; angles 79.87, 79.87, 27.02 degrees
Last column: nearest neighbours and their distance in Å.
Atoms (fractional coordinates):
Zr  0.9689  0.9689  0.8073  4 N 2.09-2.17
Zr  0.3705  0.3705  0.4740  4 N 2.17-2.34, 2 O 2.23
Zr  0.3049  0.3049  0.1314  3 N 2.14, 1 O 2.24
Zr  0.6951  0.6951  0.8686  3 N 2.14, 1 O 2.24
Zr  0.6295  0.6295  0.5260  4 N 2.17-2.34, 2 O 2.23
Zr  0.0311  0.0311  0.1927  4 N 2.09-2.17
N  0.4648  0.4648  0.6563  4 Zr 2.09-2.34
N  0.8277  0.8277  0.9665  4 Zr 2.14-2.15
N  0.8741  0.8741  0.2877  5 Zr 2.17-2.41
N  0.1259  0.1259  0.7123  5 Zr 2.17-2.41
N  0.1723  0.1723  0.0335  4 Zr 2.14-2.15
N  0.5352  0.5352  0.3437  4 Zr 2.09-2.34
O  0.7899  0.7899  0.6198  4 Zr 2.23-2.48
O  0.2101  0.2101  0.3802  4 Zr 2.23-2.48
O  0.5000  0.5000  0.0000  4 Zr 2.40

Properties
Uncorrected formation energy   -2.001 eV/atom
Raw total energy   -146.13 eV per cell



No. 3
Density functional theory data (PBE) for PrPuRu after structural relaxation.

Cell lengths 4.8444, 4.8444, 4.8444 Å; angles 60.00, 60.00, 60.00 degrees
Last column: nearest neighbours and their distance in Å.
Atoms (fractional coordinates):
Pr  0.0000  0.0000  0.0000  4 Ru 2.97
Ru  0.2500  0.2500  0.2500  4 Pu 2.97, 4 Pr 2.97
Pu  0.5000  0.5000  0.5000  4 Ru 2.97

Properties
Energy relative to the elements   0.0666 eV per atom
Raw total energy   -28.19 eV per cell
E above lowest polymorph   0.170 eV/atom